No. 1
Compound: DyTa4N6
Source: Alexandria
Functional: GGA-PBE
Structure: relaxed

Cell and atoms, written as POSCAR:
```
DyTa4N6
1.0
1.563 -5.136 0.000
1.563 5.136 0.000
0.000 0.000 15.694
Dy Ta N
2 8 12
Direct
0.153 0.847 0.750 Dy
0.847 0.153 0.250 Dy
0.102 0.898 0.131 Ta
0.102 0.898 0.369 Ta
0.354 0.646 0.042 Ta
0.354 0.646 0.458 Ta
0.646 0.354 0.542 Ta
0.646 0.354 0.958 Ta
0.898 0.102 0.631 Ta
0.898 0.102 0.869 Ta
0.000 0.000 0.000 N
0.000 0.000 0.500 N
0.173 0.827 0.250 N
0.264 0.736 0.594 N
0.264 0.736 0.906 N
0.464 0.536 0.158 N
0.464 0.536 0.342 N
0.536 0.464 0.658 N
0.536 0.464 0.842 N
0.736 0.264 0.094 N
0.736 0.264 0.406 N
0.827 0.173 0.750 N
```

Summary:
Calculated total energy = -115.33 eV per formula unit
Symmetry = Cmcm (63)
Uncorrected formation energy = -1215.2 meV/atom
V = 11.46 Å³/atom

=====

No. 2
Compound: AcCe2Pt9
Source: Alexandria
Functional: GGA-PBE
Structure: relaxed

Cell and atoms, written as POSCAR:
```
AcCe2Pt9
1.0
2.749 1.587 8.957
-2.749 1.587 8.957
0.000 -3.174 8.957
Ac Ce Pt
1 2 9
Direct
0.000 0.000 0.000 Ac
0.141 0.141 0.141 Ce
0.859 0.859 0.859 Ce
0.082 0.588 0.588 Pt
0.333 0.333 0.333 Pt
0.412 0.412 0.918 Pt
0.412 0.918 0.412 Pt
0.500 0.500 0.500 Pt
0.588 0.082 0.588 Pt
0.588 0.588 0.082 Pt
0.667 0.667 0.667 Pt
0.918 0.412 0.412 Pt
```

Summary:
Calculated total energy = -81.50 eV per formula unit
Symmetry = R-3m (166)
Formation energy = -0.93 eV/atom
V = 19.54 Å³/atom

=====

No. 3
Compound: Ta2CuHPd
Source: Alexandria
Functional: GGA-PBE
Structure: relaxed

Cell and atoms, written as POSCAR:
```
Ta2CuHPd
1.0
4.043 0.000 0.000
0.000 4.043 0.000
0.000 0.000 4.053
Ta Cu H Pd
2 1 1 1
Direct
0.000 0.500 0.000 Ta
0.500 0.000 0.000 Ta
0.000 0.000 0.500 Cu
0.500 0.500 0.000 H
0.500 0.500 0.500 Pd
```

Summary:
Calculated total energy = -36.55 eV per formula unit
Symmetry = P4/mmm (123)
Excess energy over the best structure of this formula in the dataset = 39 meV/atom
V = 13.25 Å³/atom